DFT (PBE-GGA) results for Rb2CaNdF6 after structural relaxation.

Output
ΔE_f (raw) ... -3.26 eV/atom
Energy ... -52.484 eV per formula unit
Crystal system ... monoclinic
Theoretical density ... 3.84 g/cm3

Cell: 11.016 6.730 6.470 Å, 90.00 122.23 90.00°
Space group C2/m (No. 12)
Asymmetric unit:
Rb  0.243  0.000  0.261 (multiplicity 4)
Ca  0.000  0.000  0.500 (multiplicity 2)
Nd  0.000  0.500  0.000 (multiplicity 2)
F  0.017  0.231  0.253 (multiplicity 8)
F  0.248  0.000  0.713 (multiplicity 4)